[1]
A plane-wave DFT calculation with PBE-GGA was carried out for a relaxed CaNi9Ge2 crystal.

abc: 4.8553 4.8553 8.2000
angles: 72.78 72.78 60.00
Fractional coordinates of all 12 atoms:
1 Ni 0.3339 0.3339 0.9983
2 Ni 0.5905 0.0810 0.7381
3 Ni 0.4095 0.4095 0.2619
4 Ni 0.5000 0.5000 0.5000
5 Ni 0.9190 0.4095 0.2619
6 Ni 0.5905 0.5905 0.7381
7 Ni 0.4095 0.9190 0.2619
8 Ni 0.0810 0.5905 0.7381
9 Ni 0.6661 0.6661 0.0017
10 Ge 0.1376 0.1376 0.5873
11 Ge 0.8624 0.8624 0.4127
12 Ca 0.0000 0.0000 0.0000

Crystal system: trigonal
Energy of formation (eV/atom): -0.061
Magnetization (μB/atom): 0.01
Space-group type: R-3m, No. 166

***

[2]
A plane-wave DFT calculation with PBE-GGA was carried out for a relaxed ZrNbZn17 crystal.

abc: 6.6491 6.6491 6.6491
angles: 82.73 82.73 82.73
Fractional coordinates of all 19 atoms:
1 Zn 0.5138 0.9865 0.9865
2 Zn 0.3020 0.0030 0.6937
3 Zn 0.0030 0.6937 0.3020
4 Zn 0.3504 0.3504 0.8597
5 Zn 0.1872 0.6320 0.6320
6 Zn 0.6937 0.0030 0.3020
7 Zn 0.9032 0.9032 0.9032
8 Zn 0.6937 0.3020 0.0030
9 Zn 0.6320 0.6320 0.1872
10 Zn 0.0030 0.3020 0.6937
11 Zn 0.3020 0.6937 0.0030
12 Zn 0.9865 0.5138 0.9865
13 Zn 0.9865 0.9865 0.5138
14 Zn 0.1057 0.1057 0.1057
15 Zn 0.6320 0.1872 0.6320
16 Zn 0.3504 0.8597 0.3504
17 Zn 0.8597 0.3504 0.3504
18 Nb 0.3307 0.3307 0.3307
19 Zr 0.6646 0.6646 0.6646

Crystal system: trigonal
Energy of formation (eV/atom): -0.044
Magnetization (μB/atom): 0.00
Space-group type: R3m, No. 160

***

[3]
A plane-wave DFT calculation with PBE-GGA was carried out for a relaxed NaIn4SnO8 crystal.

abc: 6.5866 6.5866 6.5043
angles: 59.58 59.58 60.00
Fractional coordinates of all 14 atoms:
1 In 0.6178 0.6178 0.1467
2 In 0.5029 0.9994 0.4984
3 In 0.9994 0.9994 0.4984
4 In 0.9994 0.5029 0.4984
5 O 0.7487 0.2254 0.2772
6 O 0.7552 0.7552 0.7345
7 O 0.2442 0.2442 0.2674
8 O 0.2545 0.2545 0.7231
9 O 0.2545 0.7679 0.7231
10 O 0.2254 0.7487 0.2772
11 O 0.7679 0.2545 0.7231
12 O 0.7487 0.7487 0.2772
13 Na 0.0002 0.0002 0.9994
14 Sn 0.3813 0.3813 0.8560

Crystal system: trigonal
Energy relative to the elements, uncorrected (meV per atom): -1507
Magnetization (μB/atom): 0.00
Space-group type: R3m, No. 160

***

[4]
A plane-wave DFT calculation with PBE-GGA was carried out for a relaxed Ca2As2Pd5 crystal.

abc: 4.3567 4.3567 8.8045
angles: 90.00 90.00 90.00
Fractional coordinates of all 9 atoms:
1 As 0.5000 0.5000 0.1434
2 As 0.5000 0.5000 0.8566
3 Pd 0.5000 0.5000 0.5000
4 Pd 0.5000 0.0000 0.2734
5 Pd 0.0000 0.5000 0.7266
6 Pd 0.5000 0.0000 0.7266
7 Pd 0.0000 0.5000 0.2734
8 Ca 0.0000 0.0000 0.5000
9 Ca 0.0000 0.0000 0.0000

Crystal system: tetragonal
Energy of formation (eV/atom): -0.705
Magnetization (μB/atom): 0.00
Space-group type: P4/mmm, No. 123

***

[5]
A plane-wave DFT calculation with PBE-GGA was carried out for a relaxed SrCa3Rh crystal.

abc: 5.9259 5.9259 5.9259
angles: 90.00 90.00 90.00
Each line ends with the local moment (μB).
Fractional coordinates of all 5 atoms:
1 Ca 0.0000 0.5000 0.0000  0.23
2 Ca 0.5000 0.0000 0.0000  0.13
3 Ca 0.0000 0.0000 0.5000  0.31
4 Rh 0.5000 0.5000 0.5000  -0.55
5 Sr 0.0000 0.0000 0.0000  0.50

Crystal system: cubic
Energy of formation (eV/atom): 1.547
Magnetization (μB/atom): 0.53
Energy above the most stable polymorph in this dataset (meV/atom): 1775
Space-group type: Pm-3m, No. 221

***

[6]
A plane-wave DFT calculation with PBE-GGA was carried out for a relaxed DyTcIr crystal.

abc: 4.4270 6.6989 6.6989
angles: 120.00 90.00 90.00
Fractional coordinates of all 9 atoms:
1 Tc 0.5000 0.2358 0.2358
2 Tc 0.5000 0.7642 0.0000
3 Tc 0.5000 0.0000 0.7642
4 Ir 0.5000 0.6667 0.3333
5 Ir 0.5000 0.3333 0.6667
6 Ir 0.0000 0.0000 0.0000
7 Dy 0.0000 0.4186 0.0000
8 Dy 0.0000 0.0000 0.4186
9 Dy 0.0000 0.5814 0.5814

Crystal system: hexagonal
Energy of formation (eV/atom): -0.321
Magnetization (μB/atom): 0.00
Space-group type: P-62m, No. 189

***

[7]
A plane-wave DFT calculation with PBE-GGA was carried out for a relaxed LiP2W crystal.

abc: 3.2096 3.2096 7.4678
angles: 77.59 77.59 60.00
Fractional coordinates of all 4 atoms:
1 W 0.6653 0.6653 0.0041
2 P 0.2574 0.2574 0.2278
3 P 0.0740 0.0740 0.7779
4 Li 0.5033 0.5033 0.4902

Crystal system: trigonal
Energy of formation (eV/atom): -0.337
Magnetization (μB/atom): 0.00
Energy above the most stable polymorph in this dataset (meV/atom): 3
Space-group type: R3m, No. 160

***

[8]
A plane-wave DFT calculation with PBE-GGA was carried out for a relaxed ReNi crystal.

abc: 4.6172 4.2469 5.2743
angles: 90.00 90.00 90.00
Fractional coordinates of all 8 atoms:
1 Re 0.4154 0.7500 0.1250
2 Re 0.5846 0.2500 0.8750
3 Re 0.9154 0.7500 0.3750
4 Re 0.0846 0.2500 0.6250
5 Ni 0.5752 0.2500 0.3791
6 Ni 0.0752 0.2500 0.1209
7 Ni 0.9248 0.7500 0.8791
8 Ni 0.4248 0.7500 0.6209

Crystal system: orthorhombic
Energy of formation (eV/atom): -0.048
Magnetization (μB/atom): 0.00
Space-group type: Pnma, No. 62

***

[9]
A plane-wave DFT calculation with PBE-GGA was carried out for a relaxed BaNaWS2 crystal.

abc: 5.0953 5.1273 5.0953
angles: 90.00 90.00 90.00
Each line ends with the local moment (μB).
Fractional coordinates of all 5 atoms:
1 S 0.0000 0.0000 0.5000  -0.13
2 S 0.5000 0.0000 0.0000  -0.11
3 Ba 0.0000 0.5000 0.0000  0.09
4 Na 0.0000 0.0000 0.0000  0.00
5 W 0.5000 0.5000 0.5000  3.23

Crystal system: tetragonal
Energy relative to the elements, uncorrected (meV per atom): 997
Magnetization (μB/atom): 0.85
Space-group type: P4/mmm, No. 123

***

[10]
A plane-wave DFT calculation with PBE-GGA was carried out for a relaxed SrPmGaGe crystal.

abc: 5.3171 5.3171 5.3171
angles: 60.00 60.00 60.00
Fractional coordinates of all 4 atoms:
1 Pm 0.0000 0.0000 0.0000
2 Ge 0.2500 0.2500 0.2500
3 Sr 0.5000 0.5000 0.5000
4 Ga 0.7500 0.7500 0.7500

Crystal system: cubic
Energy of formation (eV/atom): -0.442
Magnetization (μB/atom): 0.00
Space-group type: F-43m, No. 216

***

[11]
A plane-wave DFT calculation with PBE-GGA was carried out for a relaxed Li2CrRe crystal.

abc: 2.4979 2.4979 9.3838
angles: 90.00 90.00 108.15
Fractional coordinates of all 4 atoms:
1 Li 0.0000 0.0000 0.0018
2 Li 0.0000 0.0000 0.4982
3 Re 0.5000 0.5000 0.2500
4 Cr 0.5000 0.5000 0.7500

Crystal system: orthorhombic
Energy of formation (eV/atom): 0.451
Magnetization (μB/atom): 0.00
Energy above the most stable polymorph in this dataset (meV/atom): 203
Space-group type: Cmmm, No. 65

***

[12]
A plane-wave DFT calculation with PBE-GGA was carried out for a relaxed ZrFeIr2Pd crystal.

abc: 4.8179 4.5638 4.8179
angles: 90.00 90.00 90.00
Each line ends with the local moment (μB).
Fractional coordinates of all 5 atoms:
1 Pd 0.5000 0.5000 0.5000  0.20
2 Zr 0.0000 0.0000 0.0000  -0.21
3 Ir 0.0000 0.0000 0.5000  0.34
4 Ir 0.5000 0.0000 0.0000  0.36
5 Fe 0.0000 0.5000 0.0000  2.45

Crystal system: tetragonal
Energy of formation (eV/atom): 1.574
Magnetization (μB/atom): 0.63
Space-group type: P4/mmm, No. 123